Entry 1:
Material: SiO2He
Method: DFT, PBE
State: relaxed

Results
SG: R-3c, No. 167
Calculated volume, Å³/cell: 203.9
M_tot, μB per atom: 0.000
Formation energy from raw total energies, eV/atom: -2.080

Cell and atoms, written as POSCAR:
```
SiO2He
1.0
2.611 1.507 8.635
-2.611 1.507 8.635
0.000 -3.015 8.635
Si O He
4 8 4
direct
0.062 0.062 0.062
0.438 0.438 0.438
0.562 0.562 0.562
0.938 0.938 0.938
0.000 0.000 0.000
0.203 0.750 0.297
0.250 0.703 0.797
0.297 0.203 0.750
0.500 0.500 0.500
0.703 0.797 0.250
0.750 0.297 0.203
0.797 0.250 0.703
0.184 0.184 0.184
0.316 0.316 0.316
0.684 0.684 0.684
0.816 0.816 0.816
```

***

Entry 2:
Material: Pm3YAg3
Method: DFT, PBE
State: relaxed

Results
SG: C2/m, No. 12
Calculated volume, Å³/cell: 392.5
VASP energy, Ha/atom: -0.1583
M_tot, μB per atom: 0.000

Cell and atoms, written as POSCAR:
```
Pm3YAg3
1.0
5.039 -5.452 0.000
5.039 5.452 0.000
-0.176 0.000 7.145
Pm Y Ag
6 2 6
direct
0.179 0.821 0.000
0.267 0.733 0.500
0.364 0.364 0.136
0.636 0.636 0.864
0.733 0.267 0.500
0.821 0.179 0.000
0.256 0.256 0.639
0.744 0.744 0.361
0.004 0.514 0.769
0.068 0.068 0.320
0.486 0.996 0.231
0.514 0.004 0.769
0.932 0.932 0.680
0.996 0.486 0.231
```